Entry one
A geometry-optimized NdErS2 structure, computed with PBE-GGA.

Computed properties:
- calculated volume (A^3/atom) = 22.096
- size of the total moment (μB/cell) = 0.000

extended XYZ file:
```
4
Lattice="3.400 -1.969 0.000 3.400 1.969 0.000 -2.276 0.000 6.601" Properties=species:S:1:pos:R:3 pbc="T T T"
Nd 0.000 0.000 0.000
Er 2.262 0.000 3.300
S -0.006 0.000 4.817
S 4.530 0.000 1.784
```


Entry two
A geometry-optimized NdErS2 structure, computed with PBE-GGA.

Computed properties:
- calculated volume (A^3/atom) = 22.421
- size of the total moment (μB/cell) = 0.000

extended XYZ file:
```
4
Lattice="1.929 1.114 6.956 -1.929 1.114 6.956 0.000 -2.228 6.956" Properties=species:S:1:pos:R:3 pbc="T T T"
Nd 0.000 0.000 0.000
Er 0.000 0.000 17.155
S 0.000 0.000 8.661
S 0.000 0.000 11.970
```


Which one sits at the top of the stability order? entry one does.


Entry one
A geometry-optimized NdEr3S4 structure, computed with PBE-GGA.

Computed properties:
- calculated volume (A^3/atom) = 21.259
- size of the total moment (μB/cell) = 0.000

extended XYZ file:
```
8
Lattice="3.964 -5.542 0.000 3.964 5.542 0.000 0.000 0.000 3.870" Properties=species:S:1:pos:R:3 pbc="T T T"
Nd 0.000 0.000 0.000
Er 1.982 2.771 1.935
Er 1.982 -2.771 1.935
Er 3.964 0.000 0.000
S 3.964 2.702 0.000
S 2.084 0.000 1.935
S 5.845 0.000 1.935
S 3.964 -2.702 0.000
```


Entry two
A geometry-optimized NdEr3S4 structure, computed with PBE-GGA.

Computed properties:
- calculated volume (A^3/atom) = 21.333
- size of the total moment (μB/cell) = 0.001

extended XYZ file:
```
8
Lattice="5.547 0.000 0.000 0.000 5.547 0.000 0.000 0.000 5.547" Properties=species:S:1:pos:R:3 pbc="T T T"
Nd 0.000 0.000 0.000
Er 0.000 2.773 2.773
Er 2.773 0.000 2.773
Er 2.773 2.773 0.000
S 0.000 0.000 2.773
S 0.000 2.773 0.000
S 2.773 0.000 0.000
S 2.773 2.773 2.773
```


Which one sits at the top of the stability order? entry one does.


Entry one
A geometry-optimized NdEr2S4 structure, computed with PBE-GGA.

Computed properties:
- calculated volume (A^3/atom) = 23.266
- size of the total moment (μB/cell) = 0.000

extended XYZ file:
```
14
Lattice="1.924 -6.436 0.000 1.924 6.436 0.000 0.000 0.000 13.154" Properties=species:S:1:pos:R:3 pbc="T T T"
Nd 1.924 4.841 9.865
Nd 1.924 -4.841 3.288
Er 1.924 1.675 7.471
Er 1.924 1.675 12.260
Er 1.924 -1.675 0.894
Er 1.924 -1.675 5.683
S 0.000 0.000 0.000
S 0.000 0.000 6.577
S 1.924 2.927 1.560
S 1.924 2.927 5.017
S 1.924 0.508 9.865
S 1.924 -0.508 3.288
S 1.924 -2.927 8.136
S 1.924 -2.927 11.594
```


Entry two
A geometry-optimized NdEr2S4 structure, computed with PBE-GGA.

Computed properties:
- calculated volume (A^3/atom) = 23.058
- size of the total moment (μB/cell) = 0.003

extended XYZ file:
```
28
Lattice="11.866 0.000 0.000 0.000 3.859 0.000 0.000 0.000 14.099" Properties=species:S:1:pos:R:3 pbc="T T T"
Nd 2.907 0.965 2.375
Nd 3.026 2.894 9.425
Nd 8.839 0.965 4.674
Nd 8.959 2.894 11.724
Er 0.737 0.965 5.478
Er 1.086 0.965 12.761
Er 4.846 2.894 5.711
Er 5.196 2.894 12.527
Er 6.670 0.965 1.572
Er 7.019 0.965 8.388
Er 10.779 2.894 1.339
Er 11.128 2.894 8.622
S 0.433 2.894 11.043
S 1.139 0.965 8.143
S 1.541 2.894 0.537
S 2.385 2.894 4.512
S 3.548 0.965 11.562
S 4.392 0.965 7.587
S 4.794 2.894 1.094
S 5.499 0.965 3.993
S 6.366 2.894 10.106
S 7.072 0.965 13.006
S 7.473 2.894 6.513
S 8.318 2.894 2.538
S 9.481 0.965 9.587
S 10.325 0.965 13.563
S 10.726 2.894 5.956
S 11.432 0.965 3.056
```


Which one sits at the top of the stability order? entry one does.